(1)
## Th2AlPt (PBE)

Data for a relaxed structure of Th2AlPt.

Summary:
**Energy above the most stable polymorph in this dataset**: 0 meV per atom
**Formation energy from the elements**: -0.6239 eV per atom
**Calculated density**: 11.60 Mg/m³

Cell: 3.4273 3.4273 8.3606 Å, 90.00 90.00 90.00°
Fractional positions:
Th (0.0000, 0.0000, 0.2352)
Pt (0.5000, 0.5000, 0.0000)
Al (0.5000, 0.5000, 0.5000)
Th (0.0000, 0.0000, 0.7648)

(2)
## Tb3PrSm3 (PBE)

Data for a relaxed structure of Tb3PrSm3.

Summary:
**Energy above the most stable polymorph in this dataset**: 0 meV per atom
**Formation energy from the elements**: 0.2068 eV per atom
**Calculated density**: 7.28 Mg/m³

Cell: 8.9219 8.9219 8.9219 Å, 58.70 58.70 58.70°
Fractional positions:
Tb (0.0627, 0.2870, 0.8267)
Pr (0.6521, 0.6521, 0.6521)
Tb (0.1733, 0.9373, 0.7130)
Tb (0.2870, 0.8267, 0.0627)
Sm (0.9328, 0.2767, 0.4321)
Sm (0.2767, 0.4321, 0.9328)
Tb (0.9373, 0.7130, 0.1733)
Pr (0.3479, 0.3479, 0.3479)
Tb (0.8267, 0.0627, 0.2870)
Tb (0.7130, 0.1733, 0.9373)
Sm (0.0672, 0.7233, 0.5679)
Sm (0.4321, 0.9328, 0.2767)
Sm (0.5679, 0.0672, 0.7233)
Sm (0.7233, 0.5679, 0.0672)

(3)
## SmHo5Ni2 (PBE)

Data for a relaxed structure of SmHo5Ni2.

Summary:
**Formation energy from the elements**: -0.1524 eV per atom
**Calculated density**: 8.45 Mg/m³

Cell: 3.6209 6.7386 18.2597 Å, 90.00 90.00 105.58°
Fractional positions:
Ni (0.7140, 0.4280, 0.1352)
Ho (0.9368, 0.8736, 0.5893)
Ho (0.0632, 0.1264, 0.0893)
Ho (0.6713, 0.3425, 0.5578)
Ho (0.3287, 0.6575, 0.0578)
Ni (0.2860, 0.5720, 0.8648)
Ni (0.7140, 0.4280, 0.3648)
Ho (0.9368, 0.8736, 0.9107)
Ni (0.2860, 0.5720, 0.6352)
Ho (0.0632, 0.1264, 0.4107)
Sm (0.6911, 0.3823, 0.7500)
Ho (0.3287, 0.6575, 0.4422)
Ho (0.5826, 0.1652, 0.2500)
Sm (0.3089, 0.6177, 0.2500)
Ho (0.4174, 0.8348, 0.7500)
Ho (0.6713, 0.3425, 0.9422)

(4)
## Ta2CuSe (PBE)

Data for a relaxed structure of Ta2CuSe.

Summary:
**Formation energy without anion corrections**: 0.051 eV/atom
**Calculated density**: 12.83 Mg/m³

Cell: 5.0174 5.0174 4.6236 Å, 76.02 76.02 35.43°
Fractional positions:
Ta (0.9779, 0.9779, 0.0680)
Cu (0.5104, 0.5104, 0.5575)
Se (0.2409, 0.2409, 0.1922)
Ta (0.7709, 0.7709, 0.6824)

(5)
## BaTa2As (PBE)

Data for a relaxed structure of BaTa2As.

Summary:
**Formation energy from the elements**: 0.4054 eV per atom
**Calculated density**: 10.14 Mg/m³

Cell: 3.4990 3.4990 7.6830 Å, 90.00 90.00 89.99°
Fractional positions:
Ta (0.0000, 0.0000, 0.0872)
As (0.5000, 0.5000, 0.2500)
Ta (0.0000, 0.0000, 0.4128)
Ba (0.5000, 0.5000, 0.7500)

(6)
## Ca3LaPa2P6 (PBE)

Data for a relaxed structure of Ca3LaPa2P6.

Summary:
**Formation energy from the elements**: -1.3083 eV per atom
**Calculated density**: 5.12 Mg/m³

Cell: 7.1575 7.1575 7.0543 Å, 99.78 99.78 119.99°
Fractional positions:
P (0.2729, 0.2729, 0.7664)
Pa (0.3328, 0.6672, 0.0000)
P (0.5712, 0.9224, 0.7681)
Pa (0.6672, 0.3328, 0.0000)
P (0.9224, 0.5712, 0.7681)
Ca (0.5000, 0.5000, 0.5000)
La (0.0000, 0.0000, 0.0000)
Ca (0.1634, 0.8366, 0.5000)
P (0.0776, 0.4288, 0.2319)
P (0.4288, 0.0776, 0.2319)
Ca (0.8366, 0.1634, 0.5000)
P (0.7271, 0.7271, 0.2336)

We obtain E_tot values of -6.78; -4.48; -5.05; -7.77; -7.16; -6.51 eV per atom for the records listed above, in that order.